No. 1
LiSi3Tc: PBEsol geometry, SCAN.

Unit cell a=4.1087 b=4.1087 c=4.1087 alpha=90.00 beta=90.00 gamma=90.00
With the nearest neighbours (Å) after each atom.
Sites, in units of the cell vectors:
Si 0.0000 0.0000 0.5000  2 Li 2.05
Si 0.5000 0.0000 0.0000  2 Li 2.05
Si 0.0000 0.5000 0.0000  2 Li 2.05
Li 0.0000 0.0000 0.0000  6 Si 2.05
Tc 0.5000 0.5000 0.5000  12 Si 2.91

N(E_F) = 0.766 states/eV per atom
total energy = -12.22 eV per atom
raw formation energy = 1.2786 eV per atom

=====

No. 2
Li2SiTc: PBEsol geometry, SCAN.

Unit cell a=2.7867 b=4.0532 c=5.2188 alpha=112.85 beta=105.48 gamma=90.00
With the nearest neighbours (Å) after each atom.
Sites, in units of the cell vectors:
Tc 0.0000 0.5000 0.0000  4 Si 2.46
Li 0.2374 0.2374 0.4748  4 Li 2.47, 2 Si 2.59
Li 0.7626 0.7626 0.5252  4 Li 2.47, 2 Si 2.59
Si 0.5000 0.0000 0.0000  4 Tc 2.46, 4 Li 2.59

N(E_F) = 0.269 states/eV per atom
total energy = -12.67 eV per atom
raw formation energy = -0.2050 eV per atom

=====

No. 3
Li2SiTc: PBEsol geometry, SCAN.

Unit cell a=2.6141 b=3.7290 c=5.5625 alpha=90.00 beta=90.00 gamma=90.00
With the nearest neighbours (Å) after each atom.
Sites, in units of the cell vectors:
Tc 0.5000 0.5000 0.7230  4 Si 2.52, 2 Tc 2.61, 5 Li 2.65-2.75
Li 0.0000 0.0000 0.0017  6 Li 2.61-2.65, 1 Si 2.63, 4 Tc 2.75
Li 0.5000 0.5000 0.2469  6 Li 2.61-2.65, 2 Tc 2.65-2.91, 4 Si 2.76
Si 0.0000 0.0000 0.5285  4 Tc 2.52, 2 Si 2.61, 5 Li 2.63-2.76

N(E_F) = 0.421 states/eV per atom
total energy = -12.51 eV per atom
raw formation energy = -0.0509 eV per atom